# 1
A plane-wave DFT calculation with PBEsol was carried out for a geometry-optimized Zr2AgRh2 structure.

```
Zr2AgRh2
1.0
-0.033 -2.920 1.305
0.894 -3.013 -6.722
7.366 0.296 0.847
Ag Zr Rh
2 4 4
direct
0.000 0.500 0.500 Ag
0.000 0.000 0.000 Ag
0.500 0.664 0.836 Zr
0.500 0.836 0.336 Zr
0.500 0.336 0.164 Zr
0.500 0.164 0.664 Zr
0.000 0.136 0.364 Rh
0.000 0.864 0.636 Rh
0.000 0.636 0.136 Rh
0.000 0.364 0.864 Rh
```

DFT formation energy in meV per atom: -568
Uncorrected energy in Ha/atom: -0.298
Calculated volume in Å³ per cell: 176.15
M_tot in Bohr magnetons per cell: 0.0

# 2
A plane-wave DFT calculation with PBEsol was carried out for a geometry-optimized ZrAg2Rh structure.

```
ZrAg2Rh
1.0
4.061 0.001 0.000
0.001 4.060 0.000
-2.031 -2.031 4.001
Rh Ag Zr
1 2 1
direct
0.500 0.500 0.000 Rh
0.000 0.000 0.000 Ag
0.750 0.250 0.500 Ag
0.250 0.750 0.500 Zr
```

DFT formation energy in meV per atom: -275
Uncorrected energy in Ha/atom: -0.229
Calculated volume in Å³ per cell: 65.95
ΔE to the lowest computed polymorph in kJ/mol of formula units: 34
M_tot in Bohr magnetons per cell: 0.0

# 3
A plane-wave DFT calculation with PBEsol was carried out for a geometry-optimized ZrAg2Rh structure.

```
ZrAg2Rh
1.0
2.828 0.000 0.000
1.414 2.449 0.000
1.414 0.816 9.637
Rh Zr Ag
1 1 2
direct
0.500 0.500 0.500 Rh
0.000 0.000 0.000 Zr
0.755 0.755 0.736 Ag
0.245 0.245 0.264 Ag
```

DFT formation energy in meV per atom: 161
Uncorrected energy in Ha/atom: -0.213
Calculated volume in Å³ per cell: 66.76
ΔE to the lowest computed polymorph in kJ/mol of formula units: 202
M_tot in Bohr magnetons per cell: 0.2

# 4
A plane-wave DFT calculation with PBEsol was carried out for a geometry-optimized ZrAg2Rh structure.

```
ZrAg2Rh
1.0
-1.930 -2.191 2.468
3.287 -1.534 1.209
-0.328 5.080 1.292
Zr Rh Ag
1 1 2
direct
0.500 0.500 0.000 Zr
0.000 0.000 0.000 Rh
0.750 0.250 0.500 Ag
0.250 0.750 0.500 Ag
```

DFT formation energy in meV per atom: -362
Uncorrected energy in Ha/atom: -0.232
Calculated volume in Å³ per cell: 65.82
ΔE to the lowest computed polymorph in kJ/mol of formula units: 0
M_tot in Bohr magnetons per cell: 0.0

# 5
A plane-wave DFT calculation with PBEsol was carried out for a geometry-optimized Ag3Ru structure.

```
Ag3Ru
1.0
2.662 0.000 0.000
0.000 4.999 0.023
0.000 -1.742 4.686
Ag Ru
3 1
direct
0.000 0.000 0.000 Ag
0.500 0.500 0.000 Ag
0.500 0.000 0.500 Ag
0.000 0.500 0.500 Ru
```

DFT formation energy in meV per atom: 392
Uncorrected energy in Ha/atom: -0.170
Calculated volume in Å³ per cell: 62.46
M_tot in Bohr magnetons per cell: 0.0

# 6
A plane-wave DFT calculation with PBEsol was carried out for a geometry-optimized AgRu2 structure.

```
AgRu2
1.0
2.740 0.000 0.000
0.000 3.697 0.000
-1.370 -1.848 4.270
Ru Ag
2 1
direct
0.683 0.683 0.366 Ru
0.317 0.317 0.634 Ru
0.000 0.000 0.000 Ag
```

DFT formation energy in meV per atom: 434
Uncorrected energy in Ha/atom: -0.274
Calculated volume in Å³ per cell: 43.24
ΔE to the lowest computed polymorph in kJ/mol of formula units: 27
M_tot in Bohr magnetons per cell: 0.0

# 7
A plane-wave DFT calculation with PBEsol was carried out for a geometry-optimized AgRu structure.

```
AgRu
1.0
-1.624 -2.199 0.477
1.247 -1.822 -4.154
3.753 -0.182 3.870
Ag Ru
2 2
direct
0.881 0.631 0.762 Ag
0.119 0.369 0.238 Ag
0.358 0.108 0.717 Ru
0.642 0.892 0.283 Ru
```

DFT formation energy in meV per atom: 624
Uncorrected energy in Ha/atom: -0.225
Calculated volume in Å³ per cell: 60.71
M_tot in Bohr magnetons per cell: 0.0

# 8
A plane-wave DFT calculation with PBEsol was carried out for a geometry-optimized Ag3Ru2 structure.

```
Ag3Ru2
1.0
-2.311 -1.431 -0.164
0.060 -2.592 -0.834
0.653 -4.876 10.759
Ru Ag
2 3
direct
0.601 0.601 0.198 Ru
0.399 0.399 0.802 Ru
0.000 0.000 0.000 Ag
0.201 0.201 0.397 Ag
0.799 0.799 0.603 Ag
```

DFT formation energy in meV per atom: 469
Uncorrected energy in Ha/atom: -0.205
Calculated volume in Å³ per cell: 75.32
M_tot in Bohr magnetons per cell: 0.0

# 9
A plane-wave DFT calculation with PBEsol was carried out for a geometry-optimized AgRu2 structure.

```
AgRu2
1.0
2.730 0.000 0.000
0.000 2.730 0.000
-1.365 -1.365 5.835
Ru Ag
2 1
direct
0.320 0.320 0.640 Ru
0.680 0.680 0.360 Ru
0.000 0.000 0.000 Ag
```

DFT formation energy in meV per atom: 340
Uncorrected energy in Ha/atom: -0.277
Calculated volume in Å³ per cell: 43.48
ΔE to the lowest computed polymorph in kJ/mol of formula units: 0
M_tot in Bohr magnetons per cell: 0.0

# 10
A plane-wave DFT calculation with PBEsol was carried out for a geometry-optimized AgRu structure.

```
AgRu
1.0
2.610 0.000 0.000
0.000 2.610 0.000
0.000 0.000 4.370
Ag Ru
1 1
direct
0.000 0.000 0.000 Ag
0.500 0.500 0.500 Ru
```

DFT formation energy in meV per atom: 668
Uncorrected energy in Ha/atom: -0.223
Calculated volume in Å³ per cell: 29.78
M_tot in Bohr magnetons per cell: 0.0

# 11
A plane-wave DFT calculation with PBEsol was carried out for a geometry-optimized Ag3Ru structure.

```
Ag3Ru
1.0
-0.839 -0.741 -2.473
-0.554 -4.540 1.547
-4.558 0.983 1.252
Ru Ag
1 3
direct
0.500 0.000 0.000 Ru
0.000 0.500 0.000 Ag
0.500 0.500 0.500 Ag
0.000 0.000 0.500 Ag
```

DFT formation energy in meV per atom: 462
Uncorrected energy in Ha/atom: -0.168
Calculated volume in Å³ per cell: 63.28
M_tot in Bohr magnetons per cell: 0.0

# 12
A plane-wave DFT calculation with PBEsol was carried out for a geometry-optimized AgRu4 structure.

```
AgRu4
1.0
3.794 0.000 0.000
1.897 4.275 0.000
1.897 0.000 4.275
Ru Ag
4 1
direct
0.411 0.395 0.784 Ru
0.195 0.216 0.395 Ru
0.805 0.784 0.605 Ru
0.589 0.605 0.216 Ru
0.000 0.000 0.000 Ag
```

DFT formation energy in meV per atom: 414
Uncorrected energy in Ha/atom: -0.308
Calculated volume in Å³ per cell: 69.35
M_tot in Bohr magnetons per cell: 0.0

# 13
A plane-wave DFT calculation with PBEsol was carried out for a geometry-optimized AgRu structure.

```
AgRu
1.0
-0.210 0.906 -2.496
-1.868 -1.682 0.883
-2.608 3.722 1.570
Ag Ru
1 1
direct
0.000 0.000 0.000 Ag
0.500 0.500 0.500 Ru
```

DFT formation energy in meV per atom: 645
Uncorrected energy in Ha/atom: -0.224
Calculated volume in Å³ per cell: 30.11
M_tot in Bohr magnetons per cell: 0.5

# 14
A plane-wave DFT calculation with PBEsol was carried out for a geometry-optimized Ag3RuS structure.

```
Ag3RuS
1.0
4.544 0.000 0.000
0.000 4.544 0.000
0.000 0.000 4.544
Ag S Ru
3 1 1
direct
0.000 0.000 0.500 Ag
0.500 0.000 0.000 Ag
0.000 0.500 0.000 Ag
0.000 0.000 0.000 S
0.500 0.500 0.500 Ru
```

Raw formation energy in kcal/mol of atoms: 24.77
Uncorrected energy in Ha/atom: -0.141
Calculated volume in Å³ per cell: 93.84
M_tot in Bohr magnetons per cell: 1.5

# 15
A plane-wave DFT calculation with PBEsol was carried out for a geometry-optimized AgSbRu structure.

```
AgSbRu
1.0
-2.135 1.485 -3.499
0.386 -2.056 -3.824
-3.367 -2.248 -1.615
Sb Ru Ag
1 1 1
direct
0.500 0.500 0.500 Sb
0.000 0.000 0.000 Ru
0.250 0.250 0.250 Ag
```

Raw formation energy in kcal/mol of atoms: 19.04
Uncorrected energy in Ha/atom: -0.191
Calculated volume in Å³ per cell: 58.58
M_tot in Bohr magnetons per cell: 0.3

# 16
A plane-wave DFT calculation with PBEsol was carried out for a geometry-optimized AgSb3Ru structure.

```
AgSb3Ru
1.0
-1.751 -2.561 -4.091
-3.060 -2.777 3.048
-3.733 3.478 -0.579
Sb Ru Ag
3 1 1
direct
0.500 0.000 0.000 Sb
0.000 0.000 0.500 Sb
0.000 0.500 0.000 Sb
0.500 0.500 0.500 Ru
0.000 0.000 0.000 Ag
```

Raw formation energy in kcal/mol of atoms: 32.74
Uncorrected energy in Ha/atom: -0.147
Calculated volume in Å³ per cell: 135.36
M_tot in Bohr magnetons per cell: 1.3

# 17
A plane-wave DFT calculation with PBEsol was carried out for a geometry-optimized ScAgRu structure.

```
ScAgRu
1.0
4.348 0.000 0.000
2.174 3.765 0.000
2.174 1.255 3.550
Ag Ru Sc
1 1 1
direct
0.500 0.500 0.500 Ag
0.250 0.250 0.250 Ru
0.000 0.000 0.000 Sc
```

DFT formation energy in meV per atom: 429
Uncorrected energy in Ha/atom: -0.230
Calculated volume in Å³ per cell: 58.11
M_tot in Bohr magnetons per cell: 0.0

# 18
A plane-wave DFT calculation with PBEsol was carried out for a geometry-optimized ScAg2Ru structure.

```
ScAg2Ru
1.0
3.502 0.000 0.000
0.000 3.502 0.000
0.000 0.000 5.429
Sc Ag Ru
1 2 1
direct
0.500 0.500 0.500 Sc
0.000 0.000 0.758 Ag
0.000 0.000 0.242 Ag
0.500 0.500 0.000 Ru
```

DFT formation energy in meV per atom: 129
Uncorrected energy in Ha/atom: -0.210
Calculated volume in Å³ per cell: 66.58
M_tot in Bohr magnetons per cell: 0.0

# 19
A plane-wave DFT calculation with PBEsol was carried out for a geometry-optimized AgRu3Se structure.

```
AgRu3Se
1.0
4.750 0.000 0.000
0.000 4.750 0.000
0.000 0.000 4.750
Ru Ag Se
3 1 1
direct
0.000 0.500 0.000 Ru
0.500 0.000 0.000 Ru
0.000 0.000 0.500 Ru
0.000 0.000 0.000 Ag
0.500 0.500 0.500 Se
```

Raw formation energy in kcal/mol of atoms: 57.44
Uncorrected energy in Ha/atom: -0.185
Calculated volume in Å³ per cell: 107.15
M_tot in Bohr magnetons per cell: 6.9

# 20
A plane-wave DFT calculation with PBEsol was carried out for a geometry-optimized Ag2RuSe structure.

```
Ag2RuSe
1.0
-0.023 1.857 -2.138
-2.428 -0.462 1.384
2.119 6.991 6.051
Ru Ag Se
1 2 1
direct
0.000 0.000 0.489 Ru
0.500 0.500 0.737 Ag
0.000 0.000 0.988 Ag
0.500 0.500 0.286 Se
```

Raw formation energy in kcal/mol of atoms: 7.97
Uncorrected energy in Ha/atom: -0.177
Calculated volume in Å³ per cell: 67.21
M_tot in Bohr magnetons per cell: 0.0